w.
Material: YTcNi2B
Method: DFT, PBE-GGA
State: optimized geometry

Properties
For the size of the total moment, the calculation gives 0.00 μB/f.u. Its space group is P4/mmm.

Cell lengths 4.4183, 5.2799, 4.4183 Å; angles 90.00, 90.00, 90.00 degrees
Sites, in units of the cell vectors:
Y (0.0000, 0.5000, 0.0000)
B (0.5000, 0.5000, 0.5000)
Ni (0.5000, 0.0000, 0.0000)
Tc (0.0000, 0.0000, 0.0000)
Ni (0.0000, 0.0000, 0.5000)

***

x.
Material: YTcNi2B
Method: DFT, PBE-GGA
State: optimized geometry

Properties
For the size of the total moment, the calculation gives 0.00 μB/f.u. Its space group is P4/mmm.

Cell lengths 4.0394, 4.0394, 4.2190 Å; angles 90.00, 90.00, 90.00 degrees
Sites, in units of the cell vectors:
Tc (0.0000, 0.0000, 0.5000)
Ni (0.5000, 0.0000, 0.0000)
Ni (0.0000, 0.5000, 0.0000)
B (0.0000, 0.0000, 0.0000)
Y (0.5000, 0.5000, 0.5000)

***

How far above the most stable structure does each one sit? In meV per atom: w 1833; x 0.

***

w.
Material: Ni2BTe2
Method: DFT, PBE-GGA
State: optimized geometry

Properties
For the size of the total moment, the calculation gives 0.00 μB/f.u. Its space group is I4/mmm.

Cell lengths 5.2817, 5.2817, 4.9115 Å; angles 57.47, 57.47, 90.00 degrees
Sites, in units of the cell vectors:
Ni (0.2865, 0.2865, 0.4270)
B (0.0000, 0.0000, 0.0000)
Ni (0.7135, 0.7135, 0.5730)
Te (0.7500, 0.2500, 0.5000)
Te (0.2500, 0.7500, 0.5000)

***

x.
Material: Ni2BTe2
Method: DFT, PBE-GGA
State: optimized geometry

Properties
For the size of the total moment, the calculation gives 0.00 μB/f.u. Its space group is P4/mbm.

Cell lengths 5.7609, 5.7609, 5.2098 Å; angles 90.00, 90.00, 90.00 degrees
Sites, in units of the cell vectors:
Ni (0.8001, 0.3001, 0.0000)
Te (0.1835, 0.6835, 0.5000)
Te (0.3165, 0.1835, 0.5000)
B (0.5000, 0.5000, 0.0000)
B (0.0000, 0.0000, 0.0000)
Ni (0.3001, 0.1999, 0.0000)
Ni (0.1999, 0.6999, 0.0000)
Ni (0.6999, 0.8001, 0.0000)
Te (0.8165, 0.3165, 0.5000)
Te (0.6835, 0.8165, 0.5000)

***

How far above the most stable structure does each one sit? In meV per atom: w 0; x 40.

***

w.
Material: NiB3Te
Method: DFT, PBE-GGA
State: optimized geometry

Properties
For the size of the total moment, the calculation gives 0.00 μB/f.u. Its space group is Pm-3m.

Cell lengths 4.3864, 4.3864, 4.3864 Å; angles 90.00, 90.00, 90.00 degrees
Sites, in units of the cell vectors:
Te (0.0000, 0.0000, 0.0000)
B (0.5000, 0.0000, 0.0000)
Ni (0.5000, 0.5000, 0.5000)
B (0.0000, 0.5000, 0.0000)
B (0.0000, 0.0000, 0.5000)

***

x.
Material: NiB3Te
Method: DFT, PBE-GGA
State: optimized geometry

Properties
For the size of the total moment, the calculation gives 0.00 μB/f.u. Its space group is Pm-3m.

Cell lengths 4.0034, 4.0034, 4.0034 Å; angles 90.00, 90.00, 90.00 degrees
Sites, in units of the cell vectors:
Ni (0.0000, 0.0000, 0.0000)
B (0.0000, 0.0000, 0.5000)
B (0.5000, 0.0000, 0.0000)
B (0.0000, 0.5000, 0.0000)
Te (0.5000, 0.5000, 0.5000)

***

How far above the most stable structure does each one sit? In meV per atom: w 1261; x 0.

***

w.
Material: Ni3BTe
Method: DFT, PBE-GGA
State: optimized geometry

Properties
For the size of the total moment, the calculation gives 0.00 μB/f.u. Its space group is Pm-3m.

Cell lengths 4.6388, 4.6388, 4.6388 Å; angles 90.00, 90.00, 90.00 degrees
Sites, in units of the cell vectors:
Ni (0.0000, 0.0000, 0.5000)
Ni (0.5000, 0.0000, 0.0000)
Te (0.0000, 0.0000, 0.0000)
B (0.5000, 0.5000, 0.5000)
Ni (0.0000, 0.5000, 0.0000)

***

x.
Material: Ni3BTe
Method: DFT, PBE-GGA
State: optimized geometry

Properties
For the size of the total moment, the calculation gives 0.00 μB/f.u. Its space group is Pm-3m.

Cell lengths 3.9870, 3.9870, 3.9870 Å; angles 90.00, 90.00, 90.00 degrees
Sites, in units of the cell vectors:
Ni (0.0000, 0.5000, 0.0000)
Te (0.5000, 0.5000, 0.5000)
B (0.0000, 0.0000, 0.0000)
Ni (0.0000, 0.0000, 0.5000)
Ni (0.5000, 0.0000, 0.0000)

***

How far above the most stable structure does each one sit? In meV per atom: w 1577; x 0.

***

w.
Material: Ni2BTe
Method: DFT, PBE-GGA
State: optimized geometry

Properties
For the size of the total moment, the calculation gives 0.00 μB/f.u. Its space group is Fm-3m.

Cell lengths 4.2023, 4.2023, 4.2023 Å; angles 60.00, 60.00, 60.00 degrees
Sites, in units of the cell vectors:
B (0.0000, 0.0000, 0.0000)
Ni (0.7500, 0.7500, 0.7500)
Ni (0.2500, 0.2500, 0.2500)
Te (0.5000, 0.5000, 0.5000)

***

x.
Material: Ni2BTe
Method: DFT, PBE-GGA
State: optimized geometry

Properties
For the size of the total moment, the calculation gives 0.00 μB/f.u. Its space group is I-42d.

Cell lengths 4.5733, 4.5733, 6.7122 Å; angles 70.08, 70.08, 90.00 degrees
Sites, in units of the cell vectors:
B (0.5000, 0.5000, 0.0000)
Te (0.7500, 0.2500, 0.5000)
Ni (0.3750, 0.4959, 0.7500)
Te (0.0000, 0.0000, 0.0000)
Ni (0.2459, 0.6250, 0.2500)
Ni (0.8750, 0.7541, 0.7500)
Ni (0.5041, 0.1250, 0.2500)
B (0.2500, 0.7500, 0.5000)

***

How far above the most stable structure does each one sit? In meV per atom: w 502; x 0.

***

w.
Material: ThNiB
Method: DFT, PBE-GGA
State: optimized geometry

Properties
For the size of the total moment, the calculation gives 0.00 μB/f.u. Its space group is P3m1.

Cell lengths 3.6014, 3.6017, 9.5030 Å; angles 79.08, 67.72, 59.97 degrees
Sites, in units of the cell vectors:
Ni (0.6157, 0.3250, 0.6241)
Th (0.5116, 0.9918, 0.3946)
Ni (0.1264, 0.9922, 0.7800)
B (0.3921, 0.3256, 0.8474)
B (0.9525, 0.6584, 0.6205)
Th (0.5396, 0.6594, 0.0331)

***

x.
Material: ThNiB
Method: DFT, PBE-GGA
State: optimized geometry

Properties
For the size of the total moment, the calculation gives 0.00 μB/f.u. Its space group is P-6m2.

Cell lengths 3.9870, 3.7472, 3.7472 Å; angles 120.00, 90.00, 90.00 degrees
Sites, in units of the cell vectors:
Ni (0.1667, 0.6667, 0.3333)
Th (0.6667, 0.3333, 0.6667)
B (0.1667, 0.0000, 0.0000)

***

How far above the most stable structure does each one sit? In meV per atom: w 177; x 0.

***

w.
Material: TiNi3B
Method: DFT, PBE-GGA
State: optimized geometry

Properties
For the size of the total moment, the calculation gives 0.00 μB/f.u. Its space group is Pm-3m.

Cell lengths 4.2962, 4.2962, 4.2962 Å; angles 90.00, 90.00, 90.00 degrees
Sites, in units of the cell vectors:
B (0.5000, 0.5000, 0.5000)
Ni (0.0000, 0.0000, 0.5000)
Ti (0.0000, 0.0000, 0.0000)
Ni (0.0000, 0.5000, 0.0000)
Ni (0.5000, 0.0000, 0.0000)

***

x.
Material: TiNi3B
Method: DFT, PBE-GGA
State: optimized geometry

Properties
For the size of the total moment, the calculation gives 0.00 μB/f.u. Its space group is Pm-3m.

Cell lengths 3.8480, 3.8480, 3.8480 Å; angles 90.00, 90.00, 90.00 degrees
Sites, in units of the cell vectors:
Ti (0.5000, 0.5000, 0.5000)
Ni (0.0000, 0.0000, 0.5000)
B (0.0000, 0.0000, 0.0000)
Ni (0.5000, 0.0000, 0.0000)
Ni (0.0000, 0.5000, 0.0000)

***

How far above the most stable structure does each one sit? In meV per atom: w 1976; x 0.

***

w.
Material: Ti2NiB2
Method: DFT, PBE-GGA
State: optimized geometry

Properties
For the size of the total moment, the calculation gives 0.00 μB/f.u. Its space group is P4/mbm.

Cell lengths 5.5515, 5.5515, 3.4014 Å; angles 90.00, 90.00, 90.00 degrees
Sites, in units of the cell vectors:
Ni (0.5000, 0.5000, 0.0000)
Ti (0.3246, 0.1754, 0.5000)
B (0.8834, 0.6166, 0.0000)
Ti (0.1754, 0.6754, 0.5000)
Ni (0.0000, 0.0000, 0.0000)
Ti (0.6754, 0.8246, 0.5000)
B (0.1166, 0.3834, 0.0000)
Ti (0.8246, 0.3246, 0.5000)
B (0.6166, 0.1166, 0.0000)
B (0.3834, 0.8834, 0.0000)

***

x.
Material: Ti2NiB2
Method: DFT, PBE-GGA
State: optimized geometry

Properties
For the size of the total moment, the calculation gives 0.00 μB/f.u. Its space group is Cmmm.

Cell lengths 3.2678, 3.0168, 5.5891 Å; angles 105.66, 90.00, 90.00 degrees
Sites, in units of the cell vectors:
B (0.0000, 0.7939, 0.5878)
Ti (0.5000, 0.3625, 0.7251)
Ni (0.0000, 0.0000, 0.0000)
Ti (0.5000, 0.6375, 0.2749)
B (0.0000, 0.2061, 0.4122)

***

How far above the most stable structure does each one sit? In meV per atom: w 44; x 0.

***

w.
Material: TlNi3B
Method: DFT, PBE-GGA
State: optimized geometry

Properties
For the size of the total moment, the calculation gives 0.98 μB/f.u. Its space group is Pm-3m.

Cell lengths 4.7651, 4.7651, 4.7651 Å; angles 90.00, 90.00, 90.00 degrees
Last column: magnetic moment on the atom in μB.
Sites, in units of the cell vectors:
Ni (0.0000, 0.0000, 0.5000)  0.18
Ni (0.5000, 0.0000, 0.0000)  0.42
Ni (0.0000, 0.5000, 0.0000)  0.40
Tl (0.0000, 0.0000, 0.0000)  -0.02
B (0.5000, 0.5000, 0.5000)  0.00

***

x.
Material: TlNi3B
Method: DFT, PBE-GGA
State: optimized geometry

Properties
For the size of the total moment, the calculation gives 0.00 μB/f.u. Its space group is Pm-3m.

Cell lengths 3.9546, 3.9546, 3.9546 Å; angles 90.00, 90.00, 90.00 degrees
Sites, in units of the cell vectors:
Tl (0.5000, 0.5000, 0.5000)
Ni (0.0000, 0.5000, 0.0000)
Ni (0.5000, 0.0000, 0.0000)
B (0.0000, 0.0000, 0.0000)
Ni (0.0000, 0.0000, 0.5000)

***

How far above the most stable structure does each one sit? In meV per atom: w 2218; x 0.

***

w.
Material: Tl2Ni2B
Method: DFT, PBE-GGA
State: optimized geometry

Properties
For the size of the total moment, the calculation gives 0.00 μB/f.u. Its space group is P4/mbm.

Cell lengths 5.7161, 5.7161, 5.1256 Å; angles 90.00, 90.00, 90.00 degrees
Sites, in units of the cell vectors:
Tl (0.6825, 0.8175, 0.5000)
Ni (0.8033, 0.6967, 0.0000)
B (0.0000, 0.0000, 0.0000)
Ni (0.3033, 0.8033, 0.0000)
Tl (0.1825, 0.6825, 0.5000)
B (0.5000, 0.5000, 0.0000)
Ni (0.6967, 0.1967, 0.0000)
Tl (0.8175, 0.3175, 0.5000)
Ni (0.1967, 0.3033, 0.0000)
Tl (0.3175, 0.1825, 0.5000)

***

x.
Material: Tl2Ni2B
Method: DFT, PBE-GGA
State: optimized geometry

Properties
For the size of the total moment, the calculation gives 0.00 μB/f.u. Its space group is I4/mmm.

Cell lengths 5.3454, 5.3454, 4.9721 Å; angles 57.48, 57.48, 90.00 degrees
Sites, in units of the cell vectors:
B (0.0000, 0.0000, 0.0000)
Ni (0.7142, 0.7142, 0.5717)
Tl (0.7500, 0.2500, 0.5000)
Tl (0.2500, 0.7500, 0.5000)
Ni (0.2858, 0.2858, 0.4283)

***

How far above the most stable structure does each one sit? In meV per atom: w 0; x 100.

***

w.
Material: TlNi2B2
Method: DFT, PBE-GGA
State: optimized geometry

Properties
For the size of the total moment, the calculation gives 0.00 μB/f.u. Its space group is I4/mmm.

Cell lengths 3.7111, 3.7111, 4.8709 Å; angles 67.61, 67.61, 90.00 degrees
Sites, in units of the cell vectors:
B (0.3944, 0.3944, 0.2111)
Ni (0.7500, 0.2500, 0.5000)
Ni (0.2500, 0.7500, 0.5000)
Tl (0.0000, 0.0000, 0.0000)
B (0.6056, 0.6056, 0.7889)

***

x.
Material: TlNi2B2
Method: DFT, PBE-GGA
State: optimized geometry

Properties
For the size of the total moment, the calculation gives 0.00 μB/f.u. Its space group is P4/mbm.

Cell lengths 6.1187, 6.1187, 3.0881 Å; angles 90.00, 90.00, 90.00 degrees
Sites, in units of the cell vectors:
Ni (0.6416, 0.8584, 0.5000)
Ni (0.1416, 0.6416, 0.5000)
B (0.0996, 0.4004, 0.0000)
Ni (0.3584, 0.1416, 0.5000)
B (0.4004, 0.9004, 0.0000)
B (0.5996, 0.0996, 0.0000)
Tl (0.0000, 0.0000, 0.0000)
Ni (0.8584, 0.3584, 0.5000)
Tl (0.5000, 0.5000, 0.0000)
B (0.9004, 0.5996, 0.0000)

***

How far above the most stable structure does each one sit? In meV per atom: w 0; x 215.

***

w.
Material: TmNi4B4
Method: DFT, PBE-GGA
State: optimized geometry

Properties
For the size of the total moment, the calculation gives 0.00 μB/f.u. Its space group is P4_2/nmc.

Cell lengths 5.0295, 5.0295, 7.0132 Å; angles 90.00, 90.00, 90.00 degrees
Sites, in units of the cell vectors:
B (0.0000, 0.3288, 0.6598)
Ni (0.0000, 0.2506, 0.3653)
Ni (0.7506, 0.5000, 0.8653)
B (0.1712, 0.5000, 0.1598)
Ni (0.2506, 0.0000, 0.6347)
Ni (0.0000, 0.7494, 0.3653)
Tm (0.5000, 0.5000, 0.5000)
B (0.6712, 0.0000, 0.3402)
Ni (0.7494, 0.0000, 0.6347)
Tm (0.0000, 0.0000, 0.0000)
Ni (0.5000, 0.2494, 0.1347)
B (0.8288, 0.5000, 0.1598)
B (0.0000, 0.6712, 0.6598)
B (0.3288, 0.0000, 0.3402)
Ni (0.2494, 0.5000, 0.8653)
B (0.5000, 0.8288, 0.8402)
B (0.5000, 0.1712, 0.8402)
Ni (0.5000, 0.7506, 0.1347)

***

x.
Material: TmNi4B4
Method: DFT, PBE-GGA
State: optimized geometry

Properties
For the size of the total moment, the calculation gives 0.00 μB/f.u. Its space group is P4_2/n.

Cell lengths 3.8080, 7.0254, 7.0254 Å; angles 90.00, 90.00, 90.00 degrees
Sites, in units of the cell vectors:
Tm (0.5000, 0.5000, 0.5000)
Ni (0.3899, 0.3551, 0.8896)
Ni (0.8899, 0.3896, 0.1449)
B (0.1070, 0.2033, 0.3321)
Ni (0.3899, 0.6449, 0.1104)
B (0.6070, 0.1679, 0.7033)
B (0.3930, 0.7033, 0.8321)
Ni (0.6101, 0.8896, 0.6449)
Tm (0.0000, 0.0000, 0.0000)
B (0.1070, 0.7967, 0.6679)
B (0.6070, 0.8321, 0.2967)
B (0.8930, 0.3321, 0.7967)
Ni (0.1101, 0.8551, 0.3896)
Ni (0.8899, 0.6104, 0.8551)
B (0.8930, 0.6679, 0.2033)
Ni (0.1101, 0.1449, 0.6104)
Ni (0.6101, 0.1104, 0.3551)
B (0.3930, 0.2967, 0.1679)

***

How far above the most stable structure does each one sit? In meV per atom: w 0; x 36.